The following is a DFT calculation (PBE-GGA) of a relaxed PuHgBr2 crystal.

Values from the calculation:
Size of the total moment in μB per atom: 1.50
Energy in eV/atom: -5.55
Formation energy (no corrections) in eV/atom: -1.052
Crystal system: trigonal

a = 4.0498 Å, b = 4.0498 Å, c = 34.4412 Å
α = 90.00°, β = 90.00°, γ = 120.00°
Last column: nearest neighbours and their distance in Å.
Space group R-3m (No. 166, hexagonal axes)
One atom of each set of equivalent atoms:
Pu 0.0000 0.0000 0.0000 x3  6 Br 2.95
Hg 0.0000 0.0000 0.5000 x3  2 Br 3.93, 6 Hg 4.05
Br 0.0000 0.0000 0.3858 x6  3 Pu 2.95